{
  "formula": "Li3RuC",
  "functional": "PBE-GGA",
  "state": "relaxed",
  "lattice": [[3.9103, 0.0000, 0.0000], [0.0000, 3.9103, 0.0000], [0.0000, 0.0000, 3.9103]],
  "species": ["Li", "Li", "Li", "Ru", "C"],
  "frac_coords": [[0.0000, 0.0000, 0.5000], [0.0000, 0.5000, 0.0000], [0.5000, 0.0000, 0.0000], [0.5000, 0.5000, 0.5000], [0.0000, 0.0000, 0.0000]],
  "spacegroup": "Pm-3m (221)",
  "magmom_total_mub_per_cell": 2.304,
  "density_g_cm3": 3.72,
  "de_polymorph_mev_per_atom": 0.0,
  "dft_energy_ha_per_atom": -0.14217
}

{
  "formula": "LiRu2C",
  "functional": "PBE-GGA",
  "state": "relaxed",
  "lattice": [[-3.3376, 3.3376, 2.1830], [3.3376, -3.3376, 2.1830], [3.3376, 3.3376, -2.1830]],
  "species": ["Li", "Li", "Ru", "Ru", "Ru", "Ru", "C", "C"],
  "frac_coords": [[0.0000, 0.0000, 0.0000], [0.7500, 0.2500, 0.5000], [0.2302, 0.6250, 0.1052], [0.3750, 0.4802, 0.6052], [0.5198, 0.1250, 0.8948], [0.8750, 0.7698, 0.3948], [0.2500, 0.7500, 0.5000], [0.5000, 0.5000, 0.0000]],
  "spacegroup": "I-42d (122)",
  "magmom_total_mub_per_cell": 0.000,
  "density_g_cm3": 7.55,
  "dft_energy_ha_per_atom": -0.26314
}

{
  "formula": "LiRuC3",
  "functional": "PBE-GGA",
  "state": "relaxed",
  "lattice": [[3.9704, 0.0000, 0.0000], [0.0000, 3.9704, 0.0000], [0.0000, 0.0000, 3.9704]],
  "species": ["Li", "Ru", "C", "C", "C"],
  "frac_coords": [[0.0000, 0.0000, 0.0000], [0.5000, 0.5000, 0.5000], [0.0000, 0.5000, 0.5000], [0.5000, 0.0000, 0.5000], [0.5000, 0.5000, 0.0000]],
  "spacegroup": "Pm-3m (221)",
  "magmom_total_mub_per_cell": 0.000,
  "density_g_cm3": 3.82,
  "de_polymorph_mev_per_atom": 0.0,
  "dft_energy_ha_per_atom": -0.22139
}

{
  "formula": "LiRuC",
  "functional": "PBE-GGA",
  "state": "relaxed",
  "lattice": [[3.3212, 0.0000, 0.0000], [-1.6606, 2.8763, 0.0000], [0.0000, 0.0000, 4.0638]],
  "species": ["Li", "Ru", "C"],
  "frac_coords": [[0.0000, 0.0000, 0.0000], [0.6667, 0.3333, 0.5000], [0.3333, 0.6667, 0.5000]],
  "spacegroup": "P-6m2 (187)",
  "magmom_total_mub_per_cell": 0.000,
  "density_g_cm3": 5.13,
  "de_polymorph_mev_per_atom": 0.0,
  "dft_energy_ha_per_atom": -0.24403
}